Entry 1:
DFT (PBE-GGA) results for a geometry-optimized Y6Bi2PbSe3 structure.

a b c (Å): 18.6792 4.2907 8.5759
angles (deg): 90.00 103.09 90.00
Closest atoms and distances in Å follow each position.
Space group C2/m (No. 12)
Unique sites:
Y 0.0042 0.0000 0.2462  3 Se 2.98-3.00, 2 Pb 3.07, 1 Bi 3.11
Y 0.1624 0.5000 0.0944  3 Se 2.95-2.96, 3 Bi 3.11
Y 0.1681 0.5000 0.5717  3 Se 2.96-2.99, 1 Pb 3.06, 2 Bi 3.12
Bi 0.1669 0.0000 0.8345  6 Y 3.11-3.12
Pb 0.0000 0.5000 0.5000  6 Y 3.06-3.07
Se 0.0000 0.5000 0.0000  6 Y 2.96-3.00
Se 0.1679 0.0000 0.3336  6 Y 2.95-2.99

=====

Entry 2:
DFT (PBE-GGA) results for a geometry-optimized Y6BiPb2Se3 structure.

a b c (Å): 18.6712 4.2888 8.5822
angles (deg): 90.00 102.98 90.00
Closest atoms and distances in Å follow each position.
Space group C2/m (No. 12)
Unique sites:
Y 0.0008 0.0000 0.2396  3 Se 2.97-3.00, 1 Pb 3.05, 2 Bi 3.10
Y 0.1644 0.5000 0.0889  3 Se 2.99-3.00, 3 Pb 3.07-3.08
Y 0.1705 0.5000 0.5800  3 Se 2.99-3.00, 2 Pb 3.07, 1 Bi 3.10
Bi 0.0000 0.5000 0.5000  6 Y 3.10
Pb 0.1669 0.0000 0.8333  6 Y 3.05-3.08
Se 0.0000 0.5000 0.0000  6 Y 2.97-2.99
Se 0.1653 0.0000 0.3335  6 Y 2.99-3.00

=====

Entry 3:
DFT (PBE-GGA) results for a geometry-optimized Si2BiPb2 structure.

a b c (Å): 7.6318 7.6318 4.5130
angles (deg): 90.00 90.00 90.00
Closest atoms and distances in Å follow each position.
Space group P4/mbm (No. 127)
Unique sites:
Si 0.1107 0.3893 0.0000  1 Si 2.39
Bi 0.0000 0.0000 0.0000  4 Si 3.09
Pb 0.1835 0.6835 0.5000  6 Si 3.17-3.23

Values from the calculation:
- Energy above the most stable polymorph in this dataset: 115.4 meV/atom

=====

Entry 4:
DFT (PBE-GGA) results for a geometry-optimized SiBiPb2 structure.

a b c (Å): 7.6616 7.6616 7.6616
angles (deg): 90.00 90.00 90.00
Closest atoms and distances in Å follow each position.
Space group Fm-3m (No. 225)
Unique sites:
Si 0.0000 0.0000 0.0000  8 Pb 3.32
Bi 0.0000 0.0000 0.5000  8 Pb 3.32
Pb 0.2500 0.2500 0.2500  4 Bi 3.32, 4 Si 3.32

=====

Entry 5:
DFT (PBE-GGA) results for a geometry-optimized Si2Bi2Pb structure.

a b c (Å): 3.4884 3.4884 21.3929
angles (deg): 90.00 90.00 90.00
Closest atoms and distances in Å follow each position.
Space group I4/mmm (No. 139)
Unique sites:
Si 0.0000 0.5000 0.2500  4 Si 2.47
Bi 0.0000 0.0000 0.1225  4 Si 3.24, 4 Bi 3.49, 4 Pb 3.60
Pb 0.0000 0.0000 0.5000  4 Pb 3.49, 8 Bi 3.60

Values from the calculation:
- Energy above the most stable polymorph in this dataset: 0.0 meV/atom

=====

Entry 6:
DFT (PBE-GGA) results for a geometry-optimized Si3BiPb structure.

a b c (Å): 5.3971 5.3971 5.3971
angles (deg): 90.00 90.00 90.00
Closest atoms and distances in Å follow each position.
Space group Pm-3m (No. 221)
Unique sites:
Si 0.0000 0.0000 0.5000  2 Bi 2.70
Bi 0.0000 0.0000 0.0000  6 Si 2.70
Pb 0.5000 0.5000 0.5000  12 Si 3.82

Values from the calculation:
- Energy above the most stable polymorph in this dataset: 0.0 meV/atom

=====

Entry 7:
DFT (PBE-GGA) results for a geometry-optimized SiBi2Pb structure.

a b c (Å): 7.6267 7.6267 7.6267
angles (deg): 90.00 90.00 90.00
Closest atoms and distances in Å follow each position.
Space group Fm-3m (No. 225)
Unique sites:
Si 0.0000 0.0000 0.0000  8 Bi 3.30
Bi 0.2500 0.2500 0.2500  4 Si 3.30, 4 Pb 3.30
Pb 0.0000 0.0000 0.5000  8 Bi 3.30

Values from the calculation:
- Energy above the most stable polymorph in this dataset: 131.9 meV/atom

=====

Entry 8:
DFT (PBE-GGA) results for a geometry-optimized SiBiPb3 structure.

a b c (Å): 5.9809 5.9809 5.9809
angles (deg): 90.00 90.00 90.00
Closest atoms and distances in Å follow each position.
Space group Pm-3m (No. 221)
Unique sites:
Si 0.0000 0.0000 0.0000  12 Pb 4.23
Bi 0.5000 0.5000 0.5000  6 Pb 2.99
Pb 0.0000 0.5000 0.5000  2 Bi 2.99

Values from the calculation:
- Energy above the most stable polymorph in this dataset: 655.4 meV/atom

=====

Entry 9:
DFT (PBE-GGA) results for a geometry-optimized Si2BiPb structure.

a b c (Å): 6.3935 6.3935 12.8849
angles (deg): 90.00 90.00 90.00
Closest atoms and distances in Å follow each position.
Space group I-42d (No. 122)
Unique sites:
Si 0.2432 0.2500 0.1250  2 Pb 2.75, 2 Bi 2.80
Bi 0.0000 0.0000 0.5000  4 Si 2.80
Pb 0.0000 0.0000 0.0000  4 Si 2.75

Values from the calculation:
- Energy above the most stable polymorph in this dataset: 0.0 meV/atom

=====

Entry 10:
DFT (PBE-GGA) results for a geometry-optimized Si2Bi2Pb structure.

a b c (Å): 7.9296 7.9296 4.0893
angles (deg): 90.00 90.00 90.00
Closest atoms and distances in Å follow each position.
Space group P4/mbm (No. 127)
Unique sites:
Si 0.1083 0.3917 0.0000  1 Si 2.43
Bi 0.1883 0.6883 0.5000  6 Si 3.06-3.18
Pb 0.0000 0.0000 0.0000  4 Si 3.22, 8 Bi 3.54

Values from the calculation:
- Energy above the most stable polymorph in this dataset: 139.9 meV/atom

=====

Entry 11:
DFT (PBE-GGA) results for a geometry-optimized Si2Bi2Pb structure.

a b c (Å): 5.5410 5.5410 8.7914
angles (deg): 90.00 90.00 90.00
Closest atoms and distances in Å follow each position.
Space group I4/mmm (No. 139)
Unique sites:
Si 0.0000 0.0000 0.1359  1 Si 2.39
Bi 0.0000 0.5000 0.2500  4 Si 2.95
Pb 0.0000 0.0000 0.5000  2 Si 3.20, 8 Bi 3.54

Values from the calculation:
- Energy above the most stable polymorph in this dataset: 96.9 meV/atom

=====

Entry 12:
DFT (PBE-GGA) results for a geometry-optimized SiBiPb2 structure.

a b c (Å): 6.7686 6.7686 13.3233
angles (deg): 90.00 90.00 90.00
Closest atoms and distances in Å follow each position.
Space group I-42d (No. 122)
Unique sites:
Si 0.0000 0.0000 0.0000  4 Pb 2.76
Bi 0.0000 0.0000 0.5000  4 Pb 3.09
Pb 0.2071 0.2500 0.1250  2 Si 2.76

=====

How do the records compare in M_tot? In the order shown, they have 0.00; 0.00; 0.00; 0.00; 0.00; 0.00; 0.00; 0.00; 0.00; 0.00; 0.00; 0.00 μB/f.u..
How do the records compare in formation energy without anion corrections? In the order shown, they have -1.255; -1.198; 0.341; 0.378; 0.249; 1.324; 0.398; 1.059; 0.533; 0.389; 0.346; 0.379 eV per atom.
How do the records compare in raw total energy? In the order shown, they have -151.5; -149.8; -40.9; -60.8; -42.1; -17.2; -61.2; -15.1; -65.2; -40.7; -41.2; -60.8 eV per cell.